A plane-wave DFT calculation with PBE was carried out for a geometry-optimized Ti2InCu3 structure.

Cell and atoms, written as POSCAR:
```
Ti2InCu3
1.0
4.276 0.000 0.000
0.000 12.813 0.000
0.000 0.000 3.378
Ti In Cu
4 2 6
Cartesian
0.000 2.158 0.000
0.000 10.655 0.000
2.138 4.248 0.000
2.138 8.565 0.000
0.000 6.407 0.000
2.138 0.000 0.000
0.000 0.000 1.689
0.000 4.151 1.689
0.000 8.662 1.689
2.138 2.255 1.689
2.138 6.407 1.689
2.138 10.558 1.689
```

Results
**Spin magnetization**: 0.30 μB per atom
**Energy of formation**: -26.1 meV per atom
**Calculated density**: 7.20 Mg/m³